No. 1
Here is a geometry-optimized ThAlAg structure from Alexandria. Energies are from PBE.

The structure belongs to space group C2/m (No. 12); the cell edges are 10.747, 4.634 and 7.400 Å and the angles 90.00°, 131.12° and 90.00°. Symmetry generates all atoms from Th at (0.041, 0.000, 0.299), Al at (0.159, 0.500, 0.116) and Ag at (0.172, 0.500, 0.733).

The total DFT energy (no corrections) comes out at -4.962 eV per atom. For the theoretical density, the calculation gives 8.78 Mg/m³. As for the magnetization: 0.000 μB/atom. The calculation puts the calculated volume at 23.1 A^3/atom.

=====

No. 2
Here is a geometry-optimized ThAl4Ag structure from Alexandria. Energies are from PBE.

The structure belongs to space group C2/m (No. 12); the cell edges are 7.056, 19.396 and 4.711 Å and the angles 90.00°, 131.83° and 90.00°. Symmetry generates all atoms from Th at (0.239, 0.000, 0.490), Al at (0.186, 0.391, 0.935), Al at (0.187, 0.173, 0.437) and Ag at (0.250, 0.250, 0.000).

The total DFT energy (no corrections) comes out at -4.329 eV per atom. For the theoretical density, the calculation gives 6.19 Mg/m³. As for the magnetization: 0.000 μB/atom. The calculation puts the calculated volume at 20.0 A^3/atom.

=====

No. 3
Here is a geometry-optimized Th2Al5Ag3 structure from Alexandria. Energies are from PBE.

The structure belongs to space group Ibam (No. 72); the cell edges are 10.783, 12.355 and 6.189 Å and the angles 90.00°, 90.00° and 90.00°. Symmetry generates all atoms from Th at (0.239, 0.130, 0.000), Al at (0.000, 0.000, 0.250), Al at (0.000, 0.265, 0.250), Al at (0.147, 0.384, 0.000), Ag at (0.000, 0.500, 0.250) and Ag at (0.120, 0.131, 0.500).

The total DFT energy (no corrections) comes out at -4.553 eV per atom. For the theoretical density, the calculation gives 7.43 Mg/m³. As for the magnetization: 0.000 μB/atom. The calculation puts the calculated volume at 20.6 A^3/atom.

=====

No. 4
Here is a geometry-optimized ThAl2Ag structure from Alexandria. Energies are from PBE.

The structure belongs to space group P4/mmm (No. 123); the cell edges are 4.482, 4.482 and 4.438 Å and the angles 90.00°, 90.00° and 90.00°. Symmetry generates all atoms from Th at (0.000, 0.000, 0.000), Al at (0.000, 0.500, 0.500) and Ag at (0.500, 0.500, 0.000).

The total DFT energy (no corrections) comes out at -4.596 eV per atom. For the theoretical density, the calculation gives 7.34 Mg/m³. As for the magnetization: 0.000 μB/atom. The calculation puts the calculated volume at 22.3 A^3/atom.

=====

No. 5
Here is a geometry-optimized ThAl7Ag5 structure from Alexandria. Energies are from PBE.

The structure belongs to space group Imm2 (No. 44); the cell edges are 5.579, 9.354 and 9.094 Å and the angles 90.00°, 90.00° and 90.00°. Symmetry generates all atoms from Th at (0.000, 0.000, 0.000), Al at (0.000, 0.000, 0.355), Al at (0.000, 0.000, 0.646), Al at (0.000, 0.291, 0.493), Al at (0.000, 0.354, 0.001), Al at (0.000, 0.500, 0.717), Ag at (0.000, 0.500, 0.277) and Ag at (0.248, 0.258, 0.745).

The total DFT energy (no corrections) comes out at -3.843 eV per atom. For the theoretical density, the calculation gives 6.72 Mg/m³. As for the magnetization: 0.000 μB/atom. The calculation puts the calculated volume at 18.3 A^3/atom.

=====

No. 6
Here is a geometry-optimized Th2Al5Ag5 structure from Alexandria. Energies are from PBE.

The structure belongs to space group Pmmm (No. 47); the cell edges are 4.422, 5.545 and 9.689 Å and the angles 90.00°, 90.00° and 90.00°. Symmetry generates all atoms from Th at (0.000, 0.000, 0.000), Th at (0.000, 0.500, 0.500), Al at (0.500, 0.000, 0.500), Al at (0.500, 0.249, 0.246), Ag at (0.000, 0.000, 0.334), Ag at (0.000, 0.500, 0.177) and Ag at (0.500, 0.500, 0.000).

The total DFT energy (no corrections) comes out at -4.253 eV per atom. For the theoretical density, the calculation gives 7.96 Mg/m³. As for the magnetization: 0.000 μB/atom. The calculation puts the calculated volume at 19.8 A^3/atom.

=====

No. 7
Here is a geometry-optimized Th6AlAg structure from Alexandria. Energies are from PBE.

The structure belongs to space group I4/mmm (No. 139); the cell edges are 5.222, 5.222 and 17.325 Å and the angles 90.00°, 90.00° and 90.00°. Symmetry generates all atoms from Th at (0.000, 0.000, 0.249), Th at (0.000, 0.500, 0.110), Al at (0.000, 0.000, 0.000) and Ag at (0.000, 0.000, 0.500).

The total DFT energy (no corrections) comes out at -6.417 eV per atom. For the theoretical density, the calculation gives 10.74 Mg/m³. As for the magnetization: 0.000 μB/atom. The calculation puts the calculated volume at 29.5 A^3/atom.

=====

No. 8
Here is a geometry-optimized ThAlAg2 structure from Alexandria. Energies are from PBE.

The structure belongs to space group P4/mmm (No. 123); the cell edges are 3.237, 3.237 and 7.947 Å and the angles 90.00°, 90.00° and 90.00°. Symmetry generates all atoms from Th at (0.000, 0.000, 0.000), Al at (0.000, 0.000, 0.500) and Ag at (0.500, 0.500, 0.302).

The total DFT energy (no corrections) comes out at -4.281 eV per atom. For the theoretical density, the calculation gives 9.47 Mg/m³. As for the magnetization: 0.000 μB/atom. The calculation puts the calculated volume at 20.8 A^3/atom.

=====

No. 9
Here is a geometry-optimized Th4Al2Ag structure from Alexandria. Energies are from PBE.

The structure belongs to space group R-3m (No. 166, hexagonal axes); the cell edges are 5.0283, 5.0283 and 28.1508 Å and the angles 90.00°, 90.00° and 120.00°. Symmetry generates all atoms from Th at (0.0000, 0.0000, 0.1198), Th at (0.0000, 0.0000, 0.2956), Al at (0.0000, 0.0000, 0.4076) and Ag at (0.0000, 0.0000, 0.5000).

The total DFT energy (no corrections) comes out at -5.639 eV per atom. For the theoretical density, the calculation gives 8.81 Mg/m³. As for the magnetization: 0.000 μB/atom. The calculation puts the calculated volume at 29.4 A^3/atom.

=====

No. 10
Here is a geometry-optimized Th2Al7Ag structure from Alexandria. Energies are from PBE.

The structure belongs to space group P-4m2 (No. 115); the cell edges are 4.263, 4.263 and 11.270 Å and the angles 90.00°, 90.00° and 90.00°. Symmetry generates all atoms from Th at (0.000, 0.500, 0.244), Al at (0.000, 0.000, 0.000), Al at (0.000, 0.500, 0.638), Al at (0.000, 0.500, 0.860), Al at (0.500, 0.500, 0.000), Al at (0.500, 0.500, 0.500) and Ag at (0.000, 0.000, 0.500).

The total DFT energy (no corrections) comes out at -4.685 eV per atom. For the theoretical density, the calculation gives 6.17 Mg/m³. As for the magnetization: 0.000 μB/atom. The calculation puts the calculated volume at 20.5 A^3/atom.

=====

No. 11
Here is a geometry-optimized ThAl4Ag structure from Alexandria. Energies are from PBE.

The structure belongs to space group C2/m (No. 12); the cell edges are 10.153, 7.017 and 7.224 Å and the angles 90.00°, 110.13° and 90.00°. Symmetry generates all atoms from Th at (0.163, 0.000, 0.278), Al at (0.000, 0.282, 0.500), Al at (0.114, 0.305, 0.938), Al at (0.157, 0.000, 0.747) and Ag at (0.106, 0.500, 0.293).

The total DFT energy (no corrections) comes out at -4.415 eV per atom. For the theoretical density, the calculation gives 6.16 Mg/m³. As for the magnetization: 0.000 μB/atom. The calculation puts the calculated volume at 20.1 A^3/atom.

=====

No. 12
Here is a geometry-optimized ThAl4Ag4 structure from Alexandria. Energies are from PBE.

The structure belongs to space group P4_2/nmc (No. 137, origin choice 2); the cell edges are 6.083, 6.083 and 9.376 Å and the angles 90.00°, 90.00° and 90.00°. Symmetry generates all atoms from Th at (0.250, 0.750, 0.250), Al at (0.034, 0.250, 0.168) and Ag at (0.018, 0.250, 0.454).

The total DFT energy (no corrections) comes out at -3.924 eV per atom. For the theoretical density, the calculation gives 7.39 Mg/m³. As for the magnetization: 0.000 μB/atom. The calculation puts the calculated volume at 19.3 A^3/atom.

=====

No. 13
Here is a geometry-optimized ThAl3Ag4 structure from Alexandria. Energies are from PBE.

The structure belongs to space group P4/mmm (No. 123); the cell edges are 4.360, 4.360 and 8.531 Å and the angles 90.00°, 90.00° and 90.00°. Symmetry generates all atoms from Th at (0.000, 0.000, 0.000), Al at (0.000, 0.000, 0.500), Al at (0.500, 0.500, 0.147) and Ag at (0.000, 0.500, 0.321).

The total DFT energy (no corrections) comes out at -3.915 eV per atom. For the theoretical density, the calculation gives 7.62 Mg/m³. As for the magnetization: 0.000 μB/atom. The calculation puts the calculated volume at 20.3 A^3/atom.

=====

No. 14
Here is a geometry-optimized ThAlAg3 structure from Alexandria. Energies are from PBE.

The structure belongs to space group Cm (No. 8); the cell edges are 8.163, 6.542 and 4.985 Å and the angles 90.00°, 127.52° and 90.00°. Symmetry generates all atoms from Th at (0.000, 0.000, 0.000), Al at (0.309, 0.000, 0.808), Ag at (0.011, 0.294, 0.511) and Ag at (0.193, 0.500, 0.194).

The total DFT energy (no corrections) comes out at -4.077 eV per atom. For the theoretical density, the calculation gives 9.16 Mg/m³. As for the magnetization: 0.000 μB/atom. The calculation puts the calculated volume at 21.1 A^3/atom.

=====

No. 15
Here is a geometry-optimized Th2AlAg3 structure from Alexandria. Energies are from PBE.

The structure belongs to space group Imm2 (No. 44); the cell edges are 3.620, 4.620 and 17.460 Å and the angles 90.00°, 90.00° and 90.00°. Symmetry generates all atoms from Th at (0.000, 0.000, 0.000), Th at (0.000, 0.500, 0.236), Al at (0.000, 0.000, 0.582), Ag at (0.000, 0.000, 0.428), Ag at (0.000, 0.500, 0.654) and Ag at (0.000, 0.500, 0.813).

The total DFT energy (no corrections) comes out at -4.627 eV per atom. For the theoretical density, the calculation gives 9.26 Mg/m³. As for the magnetization: 0.000 μB/atom. The calculation puts the calculated volume at 24.3 A^3/atom.

=====

No. 16
Here is a geometry-optimized ThAl2Ag5 structure from Alexandria. Energies are from PBE.

The structure belongs to space group Immm (No. 71); the cell edges are 3.318, 8.499 and 11.149 Å and the angles 90.00°, 90.00° and 90.00°. Symmetry generates all atoms from Th at (0.000, 0.000, 0.000), Al at (0.000, 0.500, 0.249), Ag at (0.000, 0.216, 0.360) and Ag at (0.000, 0.500, 0.000).

The total DFT energy (no corrections) comes out at -3.744 eV per atom. For the theoretical density, the calculation gives 8.72 Mg/m³. As for the magnetization: 0.006 μB/atom. The calculation puts the calculated volume at 19.6 A^3/atom.

=====

No. 17
Here is a geometry-optimized ThAl2Ag structure from Alexandria. Energies are from PBE.

The structure belongs to space group P4/mmm (No. 123); the cell edges are 3.398, 3.398 and 7.344 Å and the angles 90.00°, 90.00° and 90.00°. Symmetry generates all atoms from Th at (0.000, 0.000, 0.000), Al at (0.500, 0.500, 0.300) and Ag at (0.000, 0.000, 0.500).

The total DFT energy (no corrections) comes out at -4.591 eV per atom. For the theoretical density, the calculation gives 7.71 Mg/m³. As for the magnetization: 0.000 μB/atom. The calculation puts the calculated volume at 21.2 A^3/atom.

=====

No. 18
Here is a geometry-optimized ThAl6Ag12 structure from Alexandria. Energies are from PBE.

The structure belongs to space group R-3m (No. 166, hexagonal axes); the cell edges are 11.8207, 11.8207 and 9.0000 Å and the angles 90.00°, 90.00° and 120.00°. Symmetry generates all atoms from Th at (0.0000, 0.0000, 0.0000), Al at (0.0474, 0.5237, 0.2490), Ag at (0.0000, 0.3834, 0.5000) and Ag at (0.0834, 0.1668, 0.3099).

The total DFT energy (no corrections) comes out at -3.361 eV per atom. For the theoretical density, the calculation gives 7.72 Mg/m³. As for the magnetization: 0.000 μB/atom. The calculation puts the calculated volume at 19.1 A^3/atom.

=====

No. 19
Here is a geometry-optimized Th2Al3Ag5 structure from Alexandria. Energies are from PBE.

The structure belongs to space group P-4m2 (No. 115); the cell edges are 4.261, 4.261 and 11.758 Å and the angles 90.00°, 90.00° and 90.00°. Symmetry generates all atoms from Th at (0.000, 0.500, 0.235), Al at (0.000, 0.000, 0.000), Al at (0.000, 0.500, 0.869), Ag at (0.000, 0.000, 0.500), Ag at (0.000, 0.500, 0.655), Ag at (0.500, 0.500, 0.000) and Ag at (0.500, 0.500, 0.500).

The total DFT energy (no corrections) comes out at -4.198 eV per atom. For the theoretical density, the calculation gives 8.43 Mg/m³. As for the magnetization: 0.000 μB/atom. The calculation puts the calculated volume at 21.3 A^3/atom.

=====

No. 20
Here is a geometry-optimized ThAl2Ag structure from Alexandria. Energies are from PBE.

The structure belongs to space group R-3m (No. 166, hexagonal axes); the cell edges are 4.3811, 4.3811 and 16.0006 Å and the angles 90.00°, 90.00° and 120.00°. Symmetry generates all atoms from Th at (0.0000, 0.0000, 0.0000), Al at (0.0000, 0.0000, 0.2116) and Ag at (0.0000, 0.0000, 0.5000).

The total DFT energy (no corrections) comes out at -4.706 eV per atom. For the theoretical density, the calculation gives 7.38 Mg/m³. As for the magnetization: 0.000 μB/atom. The calculation puts the calculated volume at 22.2 A^3/atom.

=====

No. 21
Here is a geometry-optimized Th2Al4Ag3 structure from Alexandria. Energies are from PBE.

The structure belongs to space group Cmce (No. 64); the cell edges are 5.947, 15.883 and 7.956 Å and the angles 90.00°, 90.00° and 90.00°. Symmetry generates all atoms from Th at (0.000, 0.104, 0.098), Al at (0.000, 0.175, 0.487), Al at (0.250, 0.064, 0.750), Ag at (0.000, 0.000, 0.500) and Ag at (0.250, 0.231, 0.750).

The total DFT energy (no corrections) comes out at -4.541 eV per atom. For the theoretical density, the calculation gives 7.92 Mg/m³. As for the magnetization: 0.000 μB/atom. The calculation puts the calculated volume at 20.9 A^3/atom.

=====

No. 22
Here is a geometry-optimized Th2Al3Ag structure from Alexandria. Energies are from PBE.

The structure belongs to space group Fmmm (No. 69); the cell edges are 7.688, 9.195 and 15.892 Å and the angles 90.00°, 90.00° and 90.00°. Symmetry generates all atoms from Th at (0.248, 0.000, 0.000), Th at (0.250, 0.250, 0.250), Al at (0.000, 0.000, 0.334), Al at (0.000, 0.248, 0.417) and Ag at (0.000, 0.000, 0.167).

The total DFT energy (no corrections) comes out at -5.184 eV per atom. For the theoretical density, the calculation gives 7.72 Mg/m³. As for the magnetization: 0.000 μB/atom. The calculation puts the calculated volume at 23.4 A^3/atom.